Record 1
La2PbC2N6 | PBE-GGA | relaxed Values from VASP.

Summary:
E_tot ... -7.799 eV/atom
Formation energy from raw total energies ... -3.82 eV/f.u.

```
&SYSTEM
  ibrav = 0, nat = 11, ntyp = 4
/
ATOMIC_SPECIES
La 138.91 La.upf
Pb 207.20 Pb.upf
C 12.01 C.upf
N 14.01 N.upf
CELL_PARAMETERS angstrom
5.157 0.000 0.000
0.823 5.437 0.000
2.274 2.392 5.649
ATOMIC_POSITIONS crystal
La 0.245 0.204 0.185
La 0.755 0.796 0.815
Pb 0.500 0.500 0.500
C 0.012 0.715 0.262
C 0.988 0.285 0.738
N 0.115 0.448 0.791
N 0.140 0.151 0.602
N 0.298 0.725 0.170
N 0.702 0.275 0.830
N 0.860 0.849 0.398
N 0.885 0.552 0.209
```

Record 2
SrBe2CuH8 | PBE-GGA | relaxed Values from VASP.

Summary:
E_tot ... -3.382 eV/atom

```
&SYSTEM
  ibrav = 0, nat = 12, ntyp = 4
/
ATOMIC_SPECIES
Sr 87.62 Sr.upf
Be 9.01 Be.upf
Cu 63.55 Cu.upf
H 1.01 H.upf
CELL_PARAMETERS angstrom
2.180 1.259 6.462
-2.180 1.259 6.462
0.000 -2.517 6.462
ATOMIC_POSITIONS crystal
Sr 0.000 0.000 0.000
Be 0.238 0.238 0.238
Be 0.762 0.762 0.762
Cu 0.500 0.500 0.500
H 0.116 0.466 0.753
H 0.247 0.884 0.534
H 0.313 0.313 0.313
H 0.466 0.753 0.116
H 0.534 0.247 0.884
H 0.687 0.687 0.687
H 0.753 0.116 0.466
H 0.884 0.534 0.247
```

Record 3
NpAl11Re | PBE-GGA | relaxed Values from VASP.

Summary:
E_tot ... -5.237 eV/atom
Energy relative to the elements ... -0.12 eV per atom

```
&SYSTEM
  ibrav = 0, nat = 13, ntyp = 3
/
ATOMIC_SPECIES
Np 237.00 Np.upf
Al 26.98 Al.upf
Re 186.21 Re.upf
CELL_PARAMETERS angstrom
2.631 -6.368 0.000
2.631 6.368 0.000
-2.599 0.000 6.554
ATOMIC_POSITIONS crystal
Np 0.000 0.000 0.000
Al 0.000 0.000 0.500
Al 0.000 0.500 0.000
Al 0.019 0.365 0.358
Al 0.287 0.500 0.782
Al 0.365 0.019 0.358
Al 0.500 0.000 0.000
Al 0.500 0.287 0.782
Al 0.500 0.713 0.218
Al 0.635 0.981 0.642
Al 0.713 0.500 0.218
Al 0.981 0.635 0.642
Re 0.500 0.500 0.500
```